Record 1
# ScTlRh2

A crystal of ScTlRh2 relaxed with PBEsol (meta-GGA SCAN, Alexandria).

Unit cell a=3.2528 b=3.2528 c=6.2644 alpha=90.00 beta=90.00 gamma=90.00
Closest atoms and distances in Å follow each position.
Positions (direct):
Sc 0.0000 0.0000 0.0000  8 Rh 2.75
Tl 0.0000 0.0000 0.5000  8 Rh 2.81, 2 Sc 3.13
Rh 0.5000 0.5000 0.2414  4 Sc 2.75, 4 Tl 2.81, 1 Rh 3.02
Rh 0.5000 0.5000 0.7586  4 Sc 2.75, 4 Tl 2.81, 1 Rh 3.02

formation energy	-2.32	eV per formula unit
uncorrected energy	-39.114	eV per atom

---

Record 2
# K2MgW

A crystal of K2MgW relaxed with PBEsol (meta-GGA SCAN, Alexandria).

Unit cell a=5.1406 b=5.1406 c=9.5856 alpha=91.33 beta=91.33 gamma=31.74
Closest atoms and distances in Å follow each position.
Positions (direct):
K 0.0000 0.0000 0.0000  2 K 2.81
K 0.2412 0.2412 0.5940  2 K 2.81
Mg 0.4871 0.4871 0.3437  3 W 2.78-2.84, 2 Mg 2.81
W 0.7517 0.7517 0.2525  3 Mg 2.78-2.84, 2 W 2.81

formation energy	4.66	eV per formula unit
uncorrected energy	-21.664	eV per atom

---

Record 3
# Mg2ZnIr

A crystal of Mg2ZnIr relaxed with PBEsol (meta-GGA SCAN, Alexandria).

Unit cell a=5.2289 b=5.2289 c=4.3861 alpha=114.69 beta=114.69 gamma=35.50
Closest atoms and distances in Å follow each position.
Positions (direct):
Mg 0.0000 0.0000 0.0000  2 Ir 2.72, 4 Zn 2.73, 4 Mg 2.94-2.97
Mg 0.2235 0.2235 0.7234  4 Ir 2.72, 2 Zn 2.79, 4 Mg 2.94-2.97
Zn 0.4678 0.4678 0.4678  2 Ir 2.55, 6 Mg 2.73-2.79
Ir 0.7456 0.7456 0.2454  2 Zn 2.55, 6 Mg 2.72

formation energy	-1.62	eV per formula unit
uncorrected energy	-24.046	eV per atom

---

Record 4
# GaNiIN2

A crystal of GaNiIN2 relaxed with PBEsol (meta-GGA SCAN, Alexandria).

Unit cell a=3.8638 b=3.8638 c=5.4182 alpha=90.00 beta=90.00 gamma=90.00
Closest atoms and distances in Å follow each position.
Positions (direct):
Ga 0.0000 0.0000 0.0000  4 I 2.73
Ni 0.5000 0.5000 0.5000  4 N 1.93
I 0.5000 0.5000 0.0000  2 Ni 2.71, 4 Ga 2.73
N 0.0000 0.5000 0.5000  2 Ni 1.93
N 0.5000 0.0000 0.5000  2 Ni 1.93

uncorrected energy	-16.361	eV per atom

---

Record 5
# LiBIO2

A crystal of LiBIO2 relaxed with PBEsol (meta-GGA SCAN, Alexandria).

Unit cell a=3.2855 b=3.2855 c=6.4209 alpha=90.00 beta=90.00 gamma=90.00
Closest atoms and distances in Å follow each position.
Positions (direct):
Li 0.0000 0.0000 0.0000  4 I 2.32
B 0.5000 0.5000 0.5000  4 O 1.64
I 0.5000 0.5000 0.0000  4 Li 2.32
O 0.0000 0.5000 0.5000  2 B 1.64
O 0.5000 0.0000 0.5000  2 B 1.64

uncorrected energy	-12.193	eV per atom

---

Record 6
# SrLaCl2

A crystal of SrLaCl2 relaxed with PBEsol (meta-GGA SCAN, Alexandria).

Unit cell a=10.0139 b=10.0139 c=10.0139 alpha=159.05 beta=158.54 gamma=30.16
Closest atoms and distances in Å follow each position.
Positions (direct):
Sr 0.0000 0.0000 0.0000  4 Cl 2.94
La 0.6835 0.1835 0.5000  4 Cl 2.91
Cl 0.2508 0.7508 0.5000  4 La 2.91
Cl 0.4294 0.4294 0.0000  4 Sr 2.94

uncorrected energy	-22.035	eV per atom

---

Record 7
# MnP2Br

A crystal of MnP2Br relaxed with PBEsol (meta-GGA SCAN, Alexandria).

Unit cell a=3.6318 b=3.5969 c=5.6071 alpha=90.00 beta=91.65 gamma=90.00
Closest atoms and distances in Å follow each position.
Positions (direct):
Mn 0.0000 0.0000 0.0000  4 P 2.16-2.37
P 0.4835 0.0000 0.2486  2 Mn 2.21-2.37, 2 P 2.28
P 0.8580 0.5000 0.1911  2 Mn 2.16, 2 P 2.28
Br 0.0916 0.5000 0.6993  2 Mn 2.49

uncorrected energy	-14.531	eV per atom

---

Record 8
# Y2Tl2In

A crystal of Y2Tl2In relaxed with PBEsol (meta-GGA SCAN, Alexandria).

Unit cell a=7.6072 b=7.6072 c=4.5107 alpha=90.00 beta=90.00 gamma=90.00
Closest atoms and distances in Å follow each position.
Positions (direct):
Y 0.1696 0.3304 0.0000  6 Tl 3.08-3.24
Y 0.3304 0.8304 0.0000  6 Tl 3.08-3.24
Y 0.6696 0.1696 0.0000  6 Tl 3.08-3.24
Y 0.8304 0.6696 0.0000  6 Tl 3.08-3.24
Tl 0.1348 0.6348 0.5000  1 Tl 2.90, 2 In 2.96, 6 Y 3.08-3.24
Tl 0.3652 0.1348 0.5000  1 Tl 2.90, 2 In 2.96, 6 Y 3.08-3.24
Tl 0.6348 0.8652 0.5000  1 Tl 2.90, 2 In 2.96, 6 Y 3.08-3.24
Tl 0.8652 0.3652 0.5000  1 Tl 2.90, 2 In 2.96, 6 Y 3.08-3.24
In 0.0000 0.0000 0.5000  4 Tl 2.96
In 0.5000 0.5000 0.5000  4 Tl 2.96

formation energy	-2.87	eV per formula unit
uncorrected energy	-47.333	eV per atom

---

Record 9
# FeWO4

A crystal of FeWO4 relaxed with PBEsol (meta-GGA SCAN, Alexandria).

Unit cell a=4.6401 b=5.6518 c=4.9288 alpha=90.00 beta=90.36 gamma=90.00
Closest atoms and distances in Å follow each position.
Positions (direct):
Fe 0.0000 0.1516 0.2500  6 O 2.04-2.06
Fe 0.0000 0.8484 0.7500  6 O 2.04-2.06
W 0.5000 0.3279 0.7500  4 O 1.83-1.93
W 0.5000 0.6721 0.2500  4 O 1.83-1.93
O 0.2404 0.1254 0.9022  1 W 1.83
O 0.2404 0.8746 0.4022  1 W 1.83
O 0.2777 0.3874 0.4246  2 W 1.93-2.10, 1 Fe 2.04
O 0.2777 0.6126 0.9246  2 W 1.93-2.10, 1 Fe 2.04
O 0.7223 0.3874 0.0754  2 W 1.93-2.10, 1 Fe 2.04
O 0.7223 0.6126 0.5754  2 W 1.93-2.10, 1 Fe 2.04
O 0.7596 0.1254 0.5978  1 W 1.83
O 0.7596 0.8746 0.0978  1 W 1.83

uncorrected energy	-20.791	eV per atom

---

Record 10
# BeCrNi2

A crystal of BeCrNi2 relaxed with PBEsol (meta-GGA SCAN, Alexandria).

Unit cell a=2.4578 b=2.4578 c=6.3645 alpha=90.00 beta=90.00 gamma=90.00
Closest atoms and distances in Å follow each position.
Positions (direct):
Be 0.0000 0.0000 0.0000  8 Ni 2.22, 4 Be 2.46
Cr 0.0000 0.0000 0.5000  4 Cr 2.46, 8 Ni 2.50
Ni 0.5000 0.5000 0.2180  4 Be 2.22, 4 Ni 2.46
Ni 0.5000 0.5000 0.7820  4 Be 2.22, 4 Ni 2.46

formation energy	-0.95	eV per formula unit
uncorrected energy	-14.008	eV per atom

---

Record 11
# Tl2GaF

A crystal of Tl2GaF relaxed with PBEsol (meta-GGA SCAN, Alexandria).

Unit cell a=4.8713 b=4.8713 c=4.8713 alpha=60.00 beta=60.00 gamma=60.00
Closest atoms and distances in Å follow each position.
Positions (direct):
Tl 0.2500 0.2500 0.2500  4 F 2.98, 4 Ga 2.98
Tl 0.7500 0.7500 0.7500  4 F 2.98, 4 Ga 2.98
Ga 0.0000 0.0000 0.0000  8 Tl 2.98
F 0.5000 0.5000 0.5000  8 Tl 2.98

uncorrected energy	-41.705	eV per atom

---

Record 12
# BaBr2F8

A crystal of BaBr2F8 relaxed with PBEsol (meta-GGA SCAN, Alexandria).

Unit cell a=7.9191 b=7.9191 c=7.9191 alpha=104.36 beta=104.36 gamma=120.26
Closest atoms and distances in Å follow each position.
Positions (direct):
Ba 0.0000 0.0000 0.0000  8 F 2.65-2.71
Ba 0.7500 0.2500 0.5000  12 F 2.76-3.06
Br 0.2232 0.1082 0.5654  4 F 1.89-1.94
Br 0.3421 0.7768 0.8849  4 F 1.89-1.94
Br 0.5428 0.6579 0.4346  4 F 1.89-1.94
Br 0.8918 0.4572 0.1151  4 F 1.89-1.94
F 0.0680 0.7370 0.7857  1 Br 1.94
F 0.1985 0.1730 0.7999  1 Br 1.89
F 0.1998 0.5084 0.6631  1 Br 1.90
F 0.2630 0.0487 0.3310  1 Br 1.94
F 0.3732 0.3986 0.2001  1 Br 1.89
F 0.4633 0.8002 0.3086  1 Br 1.90
F 0.4671 0.0495 0.1006  1 Br 1.93
F 0.4916 0.1547 0.6914  1 Br 1.90
F 0.6014 0.8015 0.9746  1 Br 1.89
F 0.6336 0.5329 0.5824  1 Br 1.93
F 0.7177 0.9320 0.6690  1 Br 1.94
F 0.8270 0.6268 0.0254  1 Br 1.89
F 0.8453 0.5367 0.3369  1 Br 1.90
F 0.9488 0.3664 0.8994  1 Br 1.93
F 0.9505 0.0512 0.4176  1 Br 1.93
F 0.9513 0.2823 0.2143  1 Br 1.94

uncorrected energy	-11.563	eV per atom